[1]
VASP calculation (GGA-PBE) on crystalline CdFe2I at its relaxed geometry.

Calculated values
energy relative to the elements, uncorrected: 25.40 kcal/mol of atoms
mass density: 9.12 g cm⁻³
relative energy among the computed polymorphs: 173 meV/atom
symmetry: Fm-3m, No. 225
E: -3.7463 eV/atom

a = 4.487 Å, b = 4.487 Å, c = 4.487 Å
α = 60.00°, β = 60.00°, γ = 60.00°
Sites, in units of the cell vectors:
I1 0.500 0.500 0.500
Fe1 0.250 0.250 0.250
Fe2 0.750 0.750 0.750
Cd1 0.000 0.000 0.000

=====

[2]
VASP calculation (GGA-PBE) on crystalline CdFe3I at its relaxed geometry.

Calculated values
energy relative to the elements, uncorrected: 30.61 kcal/mol of atoms
mass density: 6.64 g cm⁻³
relative energy among the computed polymorphs: 0 meV/atom
symmetry: Pm-3m, No. 221
E: -4.2434 eV/atom

a = 4.669 Å, b = 4.669 Å, c = 4.669 Å
α = 90.00°, β = 90.00°, γ = 90.00°
Sites, in units of the cell vectors:
I1 0.000 0.000 0.000
Fe1 0.000 0.500 0.000
Fe2 0.000 0.000 0.500
Fe3 0.500 0.000 0.000
Cd1 0.500 0.500 0.500

=====

Copy entry 2 word for word.
VASP calculation (GGA-PBE) on crystalline CdFe3I at its relaxed geometry.

Calculated values
energy relative to the elements, uncorrected: 30.61 kcal/mol of atoms
mass density: 6.64 g cm⁻³
relative energy among the computed polymorphs: 0 meV/atom
symmetry: Pm-3m, No. 221
E: -4.2434 eV/atom

a = 4.669 Å, b = 4.669 Å, c = 4.669 Å
α = 90.00°, β = 90.00°, γ = 90.00°
Sites, in units of the cell vectors:
I1 0.000 0.000 0.000
Fe1 0.000 0.500 0.000
Fe2 0.000 0.000 0.500
Fe3 0.500 0.000 0.000
Cd1 0.500 0.500 0.500